## CsHg2As (PBE-GGA)

Data for a relaxed CsHg2As crystal.

Output
magnetic moment = 0.00 μB/f.u.
VASP energy = -1.743 eV/atom
energy of formation from the pure elements = -0.9 eV/f.u.
density = 7.48 g/cm³
crystal system = orthorhombic

abc: 5.0243 5.2971 10.5007
angles: 104.61 90.00 90.00
With the nearest neighbours (Å) after each atom.
Sites, in units of the cell vectors:
As1 0.7500 0.3189 0.6377  5 Hg 2.82-3.06
As2 0.2500 0.6811 0.3623  5 Hg 2.82-3.06
Hg1 0.2500 0.5420 0.0840  1 As 2.83, 2 Hg 3.04
Hg2 0.7500 0.7436 0.4873  4 As 2.82-3.06
Hg3 0.7500 0.4580 0.9160  1 As 2.83, 2 Hg 3.04
Hg4 0.2500 0.2564 0.5127  4 As 2.82-3.06
Cs1 0.2500 0.8880 0.7759  10 Hg 3.76-4.10, 5 As 3.91-4.20
Cs2 0.7500 0.1120 0.2241  10 Hg 3.76-4.10, 5 As 3.91-4.20